No. 1
Material: ZnCdGaSi2
Method: DFT, GGA-PBE
State: optimized geometry

Values from the calculation:
The value obtained for the total DFT energy (no corrections) is -12.48 eV per formula unit. The uncorrected formation energy is 0.72 eV per atom.

```
ZnCdGaSi2
1.0
4.862 0.000 0.000
0.000 4.715 0.000
0.000 0.000 4.862
Zn Si Ga Cd
1 2 1 1
Direct
0.000 0.500 0.000
0.000 0.000 0.500
0.500 0.000 0.000
0.000 0.000 0.000
0.500 0.500 0.500
```

No. 2
Material: Zr2CdGaSi
Method: DFT, GGA-PBE
State: optimized geometry

Values from the calculation:
The value obtained for the total DFT energy (no corrections) is -25.19 eV per formula unit. The uncorrected formation energy is 0.25 eV per atom.

```
Zr2CdGaSi
1.0
5.005 0.000 0.000
0.000 4.765 0.000
0.000 0.000 5.005
Si Ga Zr Cd
1 1 2 1
Direct
0.000 0.000 0.000
0.500 0.500 0.500
0.000 0.000 0.500
0.500 0.000 0.000
0.000 0.500 0.000
```

No. 3
Material: Sm6CdGa5
Method: DFT, GGA-PBE
State: optimized geometry

Values from the calculation:
The value obtained for the total DFT energy (no corrections) is -50.71 eV per formula unit. For the formation energy, the calculation gives -0.53 eV per atom.

```
Sm6CdGa5
1.0
-0.888 4.014 3.204
-7.199 -0.542 -1.318
-1.176 -2.928 7.623
Sm Ga Cd
6 5 1
Direct
0.830 0.748 0.340
0.830 0.252 0.340
0.500 0.256 0.000
0.500 0.744 0.000
0.170 0.748 0.660
0.170 0.252 0.660
0.665 0.500 0.669
0.339 0.000 0.322
0.000 0.500 0.000
0.661 0.000 0.678
0.335 0.500 0.331
0.000 0.000 0.000
```

No. 4
Material: SmCdGa2
Method: DFT, GGA-PBE
State: optimized geometry

Values from the calculation:
The value obtained for the total DFT energy (no corrections) is -13.22 eV per formula unit. For the formation energy, the calculation gives -0.38 eV per atom.

```
SmCdGa2
1.0
4.490 0.000 0.000
2.245 3.888 0.000
2.245 1.296 5.152
Ga Sm Cd
2 1 1
Direct
0.773 0.773 0.681
0.227 0.227 0.319
0.000 0.000 0.000
0.500 0.500 0.500
```

- What is the formula in the first record?
  ZnCdGaSi2

- Among the records above, which one has the highest total DFT energy (no corrections)?
  ZnCdGaSi2